Entry 1:
Computed, not measured: a relaxed CoSiIrRh crystal at the GGA-PBE level of DFT.

Calculated values
The raw formation energy comes out at -0.2872 eV per atom. The space-group type is No. 216.

```
CoSiIrRh
1.0
0.000 2.958 2.958
2.958 0.000 2.958
2.958 2.958 0.000
Co Si Ir Rh
1 1 1 1
direct
0.000 0.000 0.000
0.500 0.500 0.500
0.250 0.250 0.250
0.750 0.750 0.750
```

***

Entry 2:
Computed, not measured: a relaxed CoTc2IrRh crystal at the GGA-PBE level of DFT.

Calculated values
The formation enthalpy at 0 K is 1.359 eV/atom. The space-group type is No. 123.

```
CoTc2IrRh
1.0
4.301 0.000 0.000
0.000 4.301 0.000
0.000 0.000 4.444
Co Tc Ir Rh
1 2 1 1
direct
0.000 0.000 0.000
0.000 0.500 0.000
0.500 0.000 0.000
0.000 0.000 0.500
0.500 0.500 0.500
```

***

Entry 3:
Computed, not measured: a relaxed Th6Co3IrRh2 crystal at the GGA-PBE level of DFT.

Calculated values
The formation enthalpy at 0 K is -0.580 eV/atom. The space-group type is No. 12.

```
Th6Co3IrRh2
1.0
8.812 -2.007 0.000
8.812 2.007 0.000
-1.924 0.000 7.844
Th Co Ir Rh
6 3 1 2
direct
0.003 0.003 0.244
0.331 0.331 0.422
0.336 0.336 0.909
0.664 0.664 0.091
0.669 0.669 0.578
0.997 0.997 0.756
0.168 0.168 0.333
0.500 0.500 0.000
0.832 0.832 0.667
0.500 0.500 0.500
0.167 0.167 0.836
0.833 0.833 0.164
```

***

Entry 4:
Computed, not measured: a relaxed Th6Co3Ir2Rh crystal at the GGA-PBE level of DFT.

Calculated values
The formation enthalpy at 0 K is -0.582 eV/atom. The space-group type is No. 12.

```
Th6Co3Ir2Rh
1.0
8.816 -2.013 0.000
8.816 2.013 0.000
-1.906 0.000 7.861
Th Co Ir Rh
6 3 2 1
direct
0.002 0.002 0.243
0.331 0.331 0.423
0.335 0.335 0.913
0.665 0.665 0.087
0.669 0.669 0.577
0.998 0.998 0.757
0.166 0.166 0.333
0.500 0.500 0.000
0.834 0.834 0.667
0.166 0.166 0.830
0.834 0.834 0.170
0.500 0.500 0.500
```

***

Entry 5:
Computed, not measured: a relaxed UCoIrRh crystal at the GGA-PBE level of DFT.

Calculated values
The formation enthalpy at 0 K is -0.527 eV/atom. The space-group type is No. 47.

```
UCoIrRh
1.0
3.957 0.000 0.000
0.000 3.970 0.000
0.000 0.000 3.975
U Co Ir Rh
1 1 1 1
direct
0.000 0.000 0.000
0.000 0.500 0.500
0.500 0.000 0.500
0.500 0.500 0.000
```

***

Entry 6:
Computed, not measured: a relaxed VCoIrRh crystal at the GGA-PBE level of DFT.

Calculated values
The formation enthalpy at 0 K is -0.343 eV/atom. The space-group type is No. 47.

```
VCoIrRh
1.0
3.647 0.000 0.000
0.000 3.769 0.000
0.000 0.000 3.788
V Co Ir Rh
1 1 1 1
direct
0.000 0.000 0.000
0.000 0.500 0.500
0.500 0.500 0.000
0.500 0.000 0.500
```

***

Entry 7:
Computed, not measured: a relaxed Co2IrRu crystal at the GGA-PBE level of DFT.

Calculated values
The formation enthalpy at 0 K is 0.230 eV/atom. The space-group type is No. 44.

```
Co2IrRu
1.0
-1.376 2.149 4.309
1.376 -2.149 4.309
1.376 2.149 -4.309
Co Ir Ru
2 1 1
direct
0.000 0.000 0.000
0.777 0.277 0.500
0.253 0.753 0.500
0.524 0.524 0.000
```

***

Entry 8:
Computed, not measured: a relaxed CoIr2Ru crystal at the GGA-PBE level of DFT.

Calculated values
The formation enthalpy at 0 K is 0.287 eV/atom. The space-group type is No. 44.

```
CoIr2Ru
1.0
-1.361 2.198 4.584
1.361 -2.198 4.584
1.361 2.198 -4.584
Co Ir Ru
1 2 1
direct
0.000 0.000 0.000
0.224 0.724 0.500
0.497 0.497 0.000
0.778 0.278 0.500
```

***

Entry 9:
Computed, not measured: a relaxed CoIr2Ru crystal at the GGA-PBE level of DFT.

Calculated values
The formation enthalpy at 0 K is 0.363 eV/atom. The space-group type is No. 123.

```
CoIr2Ru
1.0
4.548 0.000 0.000
0.000 4.548 0.000
0.000 0.000 2.712
Co Ir Ru
1 2 1
direct
0.000 0.000 0.000
0.000 0.500 0.500
0.500 0.000 0.500
0.500 0.500 0.000
```

***

Entry 10:
Computed, not measured: a relaxed CoIr2Ru crystal at the GGA-PBE level of DFT.

Calculated values
The formation enthalpy at 0 K is 0.362 eV/atom. The space-group type is No. 47.

```
CoIr2Ru
1.0
2.718 0.000 0.000
0.000 4.532 0.000
0.000 0.000 4.571
Co Ir Ru
1 2 1
direct
0.000 0.000 0.000
0.000 0.500 0.500
0.500 0.500 0.000
0.500 0.000 0.500
```

***

Entry 11:
Computed, not measured: a relaxed CoIr6Ru crystal at the GGA-PBE level of DFT.

Calculated values
The formation enthalpy at 0 K is -0.012 eV/atom. The space-group type is No. 123. The energy above the most stable polymorph in this dataset is 0 meV/atom.

```
CoIr6Ru
1.0
3.825 0.000 0.000
0.000 3.825 0.000
0.000 0.000 7.651
Co Ir Ru
1 6 1
direct
0.000 0.000 0.000
0.000 0.500 0.248
0.000 0.500 0.752
0.500 0.000 0.248
0.500 0.000 0.752
0.500 0.500 0.000
0.500 0.500 0.500
0.000 0.000 0.500
```

***

Entry 12:
Computed, not measured: a relaxed CoIr2Ru crystal at the GGA-PBE level of DFT.

Calculated values
The formation enthalpy at 0 K is 0.007 eV/atom. The space-group type is No. 123.

```
CoIr2Ru
1.0
2.706 0.000 0.000
0.000 2.706 0.000
0.000 0.000 7.390
Co Ir Ru
1 2 1
direct
0.000 0.000 0.000
0.500 0.500 0.242
0.500 0.500 0.758
0.000 0.000 0.500
```